Compound: CrSn2C
Source: Alexandria via LeMat-Bulk
Functional: PBE
Structure: optimized geometry

Geometry as CIF:
```
data_CrSn2C
_cell_length_a 6.646
_cell_length_b 6.646
_cell_length_c 6.265
_cell_angle_alpha 90.00
_cell_angle_beta 90.00
_cell_angle_gamma 90.00
_symmetry_space_group_name_H-M 'I -4 2 d'
_symmetry_Int_Tables_number 122
_symmetry_space_group_name_Hall 'I -4 2bw'
loop_
_atom_site_label
_atom_site_type_symbol
_atom_site_fract_x
_atom_site_fract_y
_atom_site_fract_z
Cr1 Cr 0.000 0.000 0.000
Sn1 Sn 0.191 0.750 0.625
C1 C 0.000 0.000 0.500
```

Total DFT energy (no corrections) in eV per atom: -5.47

---

Compound: AcCuSn2Pd
Source: Alexandria via LeMat-Bulk
Functional: PBE
Structure: optimized geometry

Geometry as CIF:
```
data_AcCuSn2Pd
_cell_length_a 4.705
_cell_length_b 4.705
_cell_length_c 10.814
_cell_angle_alpha 90.00
_cell_angle_beta 90.00
_cell_angle_gamma 90.00
_symmetry_space_group_name_H-M 'I -4 m 2'
_symmetry_Int_Tables_number 119
_symmetry_space_group_name_Hall 'I -4 -2'
loop_
_atom_site_label
_atom_site_type_symbol
_atom_site_fract_x
_atom_site_fract_y
_atom_site_fract_z
Ac1 Ac 0.000 0.000 0.000
Cu1 Cu 0.000 0.500 0.750
Sn1 Sn 0.000 0.000 0.366
Pd1 Pd 0.000 0.500 0.250
```

Total DFT energy (no corrections) in eV per atom: -4.88

---

Compound: KSm2AuO4
Source: Alexandria via LeMat-Bulk
Functional: PBE
Structure: optimized geometry

Geometry as CIF:
```
data_KSm2AuO4
_cell_length_a 3.704
_cell_length_b 12.802
_cell_length_c 11.979
_cell_angle_alpha 90.00
_cell_angle_beta 90.00
_cell_angle_gamma 90.00
_symmetry_space_group_name_H-M 'C m c m'
_symmetry_Int_Tables_number 63
_symmetry_space_group_name_Hall '-C 2c 2'
loop_
_atom_site_label
_atom_site_type_symbol
_atom_site_fract_x
_atom_site_fract_y
_atom_site_fract_z
K1 K 0.000 0.060 0.250
Sm1 Sm 0.000 0.372 0.067
Au1 Au 0.000 0.245 0.750
O1 O 0.000 0.000 0.000
O2 O 0.000 0.240 0.581
O3 O 0.000 0.423 0.250
```

Raw formation energy in eV/atom: -2.27
Total DFT energy (no corrections) in eV per atom: -6.47

---

Compound: Rb4Ac3PdO8
Source: Alexandria via LeMat-Bulk
Functional: PBE
Structure: optimized geometry

Geometry as CIF:
```
data_Rb4Ac3PdO8
_cell_length_a 13.761
_cell_length_b 7.251
_cell_length_c 7.654
_cell_angle_alpha 90.00
_cell_angle_beta 118.03
_cell_angle_gamma 90.00
_symmetry_space_group_name_H-M 'C 1 2/m 1'
_symmetry_Int_Tables_number 12
loop_
_symmetry_equiv_pos_as_xyz
'x,y,z'
'-x,-y,-z'
'-x,y,-z'
'x,-y,z'
'x+1/2,y+1/2,z'
'-x+1/2,-y+1/2,-z'
'-x+1/2,y+1/2,-z'
'x+1/2,-y+1/2,z'
loop_
_atom_site_label
_atom_site_type_symbol
_atom_site_fract_x
_atom_site_fract_y
_atom_site_fract_z
Rb1 Rb 0.000 0.000 0.000
Rb2 Rb 0.000 0.500 0.000
Rb3 Rb 0.250 0.250 0.000
Ac1 Ac 0.000 0.000 0.500
Ac2 Ac 0.250 0.250 0.500
Pd1 Pd 0.000 0.500 0.500
O1 O 0.032 0.290 0.347
O2 O 0.209 0.000 0.685
O3 O 0.210 0.000 0.262
```

Raw formation energy in eV/atom: -2.01
Total DFT energy (no corrections) in eV per atom: -5.83

---

Compound: La2AlSi3
Source: Alexandria via LeMat-Bulk
Functional: PBE
Structure: optimized geometry

Geometry as CIF:
```
data_La2AlSi3
_cell_length_a 4.338
_cell_length_b 4.342
_cell_length_c 14.205
_cell_angle_alpha 90.00
_cell_angle_beta 90.00
_cell_angle_gamma 90.00
_symmetry_space_group_name_H-M 'I m m 2'
_symmetry_Int_Tables_number 44
loop_
_symmetry_equiv_pos_as_xyz
'x,y,z'
'-x,-y,z'
'-x,y,z'
'x,-y,z'
'x+1/2,y+1/2,z+1/2'
'-x+1/2,-y+1/2,z+1/2'
'-x+1/2,y+1/2,z+1/2'
'x+1/2,-y+1/2,z+1/2'
loop_
_atom_site_label
_atom_site_type_symbol
_atom_site_fract_x
_atom_site_fract_y
_atom_site_fract_z
La1 La 0.000 0.000 0.000
La2 La 0.000 0.500 0.241
Al1 Al 0.000 0.000 0.411
Si1 Si 0.000 0.000 0.583
Si2 Si 0.000 0.500 0.660
Si3 Si 0.000 0.500 0.826
```

Raw formation energy in eV/atom: -0.68
Total DFT energy (no corrections) in eV per atom: -5.66

---

Compound: CoTcCl2
Source: Alexandria via LeMat-Bulk
Functional: PBE
Structure: optimized geometry

Geometry as CIF:
```
data_CoTcCl2
_cell_length_a 3.0366
_cell_length_b 3.0366
_cell_length_c 27.2334
_cell_angle_alpha 90.00
_cell_angle_beta 90.00
_cell_angle_gamma 120.00
_symmetry_space_group_name_H-M 'R 3 m'
_symmetry_Int_Tables_number 160
_symmetry_space_group_name_Hall 'R 3 -2"'
loop_
_atom_site_label
_atom_site_type_symbol
_atom_site_fract_x
_atom_site_fract_y
_atom_site_fract_z
Co1 Co 0.0000 0.0000 0.0000
Tc1 Tc 0.0000 0.0000 0.7382
Cl1 Cl 0.0000 0.0000 0.2762
Cl2 Cl 0.0000 0.0000 0.4693
```

Raw formation energy in eV/atom: 0.04
Total DFT energy (no corrections) in eV per atom: -5.25

---

Compound: YCd4B3Pt12
Source: Alexandria via LeMat-Bulk
Functional: PBE
Structure: optimized geometry

Geometry as CIF:
```
data_YCd4B3Pt12
_cell_length_a 8.909
_cell_length_b 8.909
_cell_length_c 8.909
_cell_angle_alpha 90.00
_cell_angle_beta 90.00
_cell_angle_gamma 90.00
_symmetry_space_group_name_H-M 'I m -3 m'
_symmetry_Int_Tables_number 229
_symmetry_space_group_name_Hall '-I 4 2 3'
loop_
_atom_site_label
_atom_site_type_symbol
_atom_site_fract_x
_atom_site_fract_y
_atom_site_fract_z
Y1 Y 0.000 0.000 0.000
Cd1 Cd 0.250 0.250 0.250
B1 B 0.000 0.000 0.500
Pt1 Pt 0.000 0.000 0.283
Pt2 Pt 0.000 0.250 0.500
```

Total DFT energy (no corrections) in eV per atom: -5.07

---

Compound: NaSn2BRh
Source: Alexandria via LeMat-Bulk
Functional: PBE
Structure: optimized geometry

Geometry as CIF:
```
data_NaSn2BRh
_cell_length_a 4.664
_cell_length_b 4.664
_cell_length_c 4.562
_cell_angle_alpha 90.00
_cell_angle_beta 90.00
_cell_angle_gamma 90.00
_symmetry_space_group_name_H-M 'P 4/m m m'
_symmetry_Int_Tables_number 123
_symmetry_space_group_name_Hall '-P 4 2'
loop_
_atom_site_label
_atom_site_type_symbol
_atom_site_fract_x
_atom_site_fract_y
_atom_site_fract_z
Na1 Na 0.000 0.000 0.000
Sn1 Sn 0.000 0.500 0.500
B1 B 0.000 0.000 0.500
Rh1 Rh 0.500 0.500 0.000
```

Total DFT energy (no corrections) in eV per atom: -3.96

---

Compound: Ho3US6
Source: Alexandria via LeMat-Bulk
Functional: PBE
Structure: optimized geometry

Geometry as CIF:
```
data_Ho3US6
_cell_length_a 11.017
_cell_length_b 3.915
_cell_length_c 11.241
_cell_angle_alpha 90.00
_cell_angle_beta 108.49
_cell_angle_gamma 90.00
_symmetry_space_group_name_H-M 'P 1 21/m 1'
_symmetry_Int_Tables_number 11
loop_
_symmetry_equiv_pos_as_xyz
'x,y,z'
'-x,-y,-z'
'-x,y+1/2,-z'
'x,-y+1/2,z'
loop_
_atom_site_label
_atom_site_type_symbol
_atom_site_fract_x
_atom_site_fract_y
_atom_site_fract_z
Ho1 Ho 0.068 0.250 0.167
Ho2 Ho 0.180 0.750 0.502
Ho3 Ho 0.340 0.250 0.917
U1 U 0.453 0.250 0.308
S1 S 0.021 0.250 0.386
S2 S 0.103 0.250 0.936
S3 S 0.244 0.750 0.276
S4 S 0.308 0.750 0.749
S5 S 0.387 0.250 0.538
S6 S 0.418 0.750 0.099
```

Raw formation energy in eV/atom: -1.90
Total DFT energy (no corrections) in eV per atom: -6.88

---

Compound: CoOs2Cl
Source: Alexandria via LeMat-Bulk
Functional: PBE
Structure: optimized geometry

Geometry as CIF:
```
data_CoOs2Cl
_cell_length_a 2.727
_cell_length_b 4.505
_cell_length_c 4.695
_cell_angle_alpha 90.00
_cell_angle_beta 90.00
_cell_angle_gamma 90.00
_symmetry_space_group_name_H-M 'P m m m'
_symmetry_Int_Tables_number 47
loop_
_symmetry_equiv_pos_as_xyz
'x,y,z'
'-x,-y,-z'
'-x,-y,z'
'x,y,-z'
'x,-y,-z'
'-x,y,z'
'-x,y,-z'
'x,-y,z'
loop_
_atom_site_label
_atom_site_type_symbol
_atom_site_fract_x
_atom_site_fract_y
_atom_site_fract_z
Co1 Co 0.000 0.000 0.000
Os1 Os 0.000 0.500 0.500
Os2 Os 0.500 0.500 0.000
Cl1 Cl 0.500 0.000 0.500
```

Raw formation energy in eV/atom: 1.07
Total DFT energy (no corrections) in eV per atom: -6.78